No. 1
First-principles (PBE-GGA) data for Y5SbS5 after structural relaxation, as listed in Alexandria via LeMat-Bulk.

Computed properties:
- Size of the total moment: 0.000 μB per atom
- Crystal system: monoclinic
- Energy: -77.31 eV per cell
- Calculated volume: 25.00 Å³ per atom
- ΔE_f (raw): -1.839 eV per atom

Cell: 6.9219 6.9219 8.0566 Å, 106.76 106.76 48.69°
Fractional coordinates of all 11 atoms:
Y: 0.0000 0.0000 0.0000
Y: 0.3289 0.3289 0.6509
Y: 0.3328 0.3328 0.1823
Y: 0.6672 0.6672 0.8177
Y: 0.6711 0.6711 0.3491
Sb: 0.5000 0.5000 0.0000
S: 0.1659 0.1659 0.3322
S: 0.1736 0.1736 0.8428
S: 0.5000 0.5000 0.5000
S: 0.8264 0.8264 0.1572
S: 0.8341 0.8341 0.6678

***

No. 2
First-principles (PBE-GGA) data for Si2Ag after structural relaxation, as listed in Alexandria via LeMat-Bulk.

Computed properties:
- Offset from the most stable computed form: 0.178 eV per atom
- Size of the total moment: 0.000 μB per atom
- Crystal system: tetragonal
- Energy: -12.22 eV per cell
- Calculated volume: 17.19 Å³ per atom
- ΔE_f (raw): 0.493 eV per atom

Cell: 5.1009 5.1009 5.1009 Å, 141.26 141.26 55.95°
Fractional coordinates of all 3 atoms:
Si: 0.2019 0.2019 0.0000
Si: 0.7981 0.7981 0.0000
Ag: 0.5000 0.5000 0.0000

***

No. 3
First-principles (PBE-GGA) data for AlRe2GeSb after structural relaxation, as listed in Alexandria via LeMat-Bulk.

Computed properties:
- Size of the total moment: 0.401 μB per atom
- Crystal system: tetragonal
- Energy: -26.50 eV per cell
- Calculated volume: 24.65 Å³ per atom
- ΔE_f (raw): 2.175 eV per atom

Cell: 4.9356 4.9356 5.0588 Å, 90.00 90.00 90.00°
Fractional coordinates of all 5 atoms:
Al: 0.0000 0.0000 0.0000
Re: 0.0000 0.5000 0.5000
Re: 0.5000 0.0000 0.5000
Ge: 0.5000 0.5000 0.0000
Sb: 0.5000 0.5000 0.5000

***

No. 4
First-principles (PBE-GGA) data for HoFe6Ge6 after structural relaxation, as listed in Alexandria via LeMat-Bulk.

Computed properties:
- DFT formation energy: -0.282 eV per atom
- Size of the total moment: 0.891 μB per atom
- Crystal system: orthorhombic
- Energy: -86.72 eV per cell
- Calculated volume: 14.16 Å³ per atom

Cell: 6.5306 6.5306 6.5306 Å, 133.91 102.81 94.86°
Fractional coordinates of all 13 atoms:
Ho: 0.0000 0.0000 0.0000
Fe: 0.0000 0.0000 0.5000
Fe: 0.0000 0.5000 0.0000
Fe: 0.2514 0.5000 0.7514
Fe: 0.5000 0.0000 0.0000
Fe: 0.5000 0.5000 0.5000
Fe: 0.7486 0.5000 0.2486
Ge: 0.1690 0.6690 0.5000
Ge: 0.3367 0.3367 0.0000
Ge: 0.3467 0.0000 0.3467
Ge: 0.6533 0.0000 0.6533
Ge: 0.6633 0.6633 0.0000
Ge: 0.8310 0.3310 0.5000

***

No. 5
First-principles (PBE-GGA) data for PmY4Rh2 after structural relaxation, as listed in Alexandria via LeMat-Bulk.

Computed properties:
- DFT formation energy: -0.448 eV per atom
- Size of the total moment: 0.000 μB per atom
- Crystal system: monoclinic
- Energy: -96.90 eV per cell
- Calculated volume: 26.66 Å³ per atom

Cell: 7.8593 6.4685 7.9751 Å, 90.00 112.99 90.00°
Fractional coordinates of all 14 atoms:
Pm: 0.0254 0.2500 0.1588
Pm: 0.9746 0.7500 0.8412
Y: 0.2401 0.5022 0.5888
Y: 0.2401 0.9978 0.5888
Y: 0.3364 0.7500 0.2516
Y: 0.3835 0.2500 0.0152
Y: 0.6165 0.7500 0.9848
Y: 0.6636 0.2500 0.7484
Y: 0.7599 0.0022 0.4112
Y: 0.7599 0.4978 0.4112
Rh: 0.0103 0.2500 0.7375
Rh: 0.4101 0.2500 0.3712
Rh: 0.5899 0.7500 0.6288
Rh: 0.9897 0.7500 0.2625

***

No. 6
First-principles (PBE-GGA) data for KCdGaBr4 after structural relaxation, as listed in Alexandria via LeMat-Bulk.

Computed properties:
- Size of the total moment: 0.000 μB per atom
- Crystal system: monoclinic
- Energy: -37.42 eV per cell
- Calculated volume: 36.81 Å³ per atom
- ΔE_f (raw): -0.997 eV per atom

Cell: 7.8706 7.8612 8.7154 Å, 90.00 107.14 90.00°
Fractional coordinates of all 14 atoms:
K: 0.2105 0.2500 0.0782
K: 0.7895 0.7500 0.9218
Cd: 0.2660 0.7500 0.7937
Cd: 0.7340 0.2500 0.2063
Ga: 0.2427 0.2500 0.6014
Ga: 0.7573 0.7500 0.3986
Br: 0.0357 0.0069 0.7491
Br: 0.0357 0.4931 0.7491
Br: 0.4562 0.7500 0.5983
Br: 0.4584 0.7500 0.1014
Br: 0.5416 0.2500 0.8986
Br: 0.5438 0.2500 0.4017
Br: 0.9643 0.5069 0.2509
Br: 0.9643 0.9931 0.2509

***

No. 7
First-principles (PBE-GGA) data for MnRhPb2 after structural relaxation, as listed in Alexandria via LeMat-Bulk.

Computed properties:
- Offset from the most stable computed form: 0.458 eV per atom
- DFT formation energy: 0.528 eV per atom
- Size of the total moment: 0.000 μB per atom
- Crystal system: cubic
- Energy: -21.82 eV per cell
- Calculated volume: 18.48 Å³ per atom

Cell: 4.7111 4.7111 4.7111 Å, 60.00 60.00 60.00°
Fractional coordinates of all 4 atoms:
Mn: 0.0000 0.0000 0.0000
Rh: 0.5000 0.5000 0.5000
Pb: 0.2500 0.2500 0.2500
Pb: 0.7500 0.7500 0.7500

***

No. 8
First-principles (PBE-GGA) data for Ac2BPd6Au after structural relaxation, as listed in Alexandria via LeMat-Bulk.

Computed properties:
- DFT formation energy: -0.673 eV per atom
- Size of the total moment: 0.000 μB per atom
- Crystal system: triclinic
- Energy: -56.06 eV per cell
- Calculated volume: 20.19 Å³ per atom

Cell: 5.8309 5.8510 7.5896 Å, 67.84 67.56 60.20°
Fractional coordinates of all 10 atoms:
Ac: 0.2239 0.2293 0.3253
Ac: 0.7761 0.7707 0.6747
B: 0.0000 0.0000 0.0000
Pd: 0.2293 0.7067 0.8320
Pd: 0.2311 0.2248 0.8232
Pd: 0.2834 0.7757 0.1742
Pd: 0.7166 0.2243 0.8258
Pd: 0.7689 0.7752 0.1768
Pd: 0.7707 0.2933 0.1680
Au: 0.5000 0.5000 0.5000

***

Which formula does entry 6 have?
KCdGaBr4

***

Which of these has the lowest energy?
PmY4Rh2